# PrScGa PBE-GGA optimized geometry
# final energy = -5.041 eV per atom
# space-group type = No. 107
# energy above the lowest structure with this stoichiometry = 112 meV per atom
# formation enthalpy at 0 K = -328 meV/atom
data_PrScGa
_chemical_formula_sum 'Pr1 Sc1 Ga1'
_cell_length_a 3.438
_cell_length_b 3.438
_cell_length_c 6.850
_cell_angle_alpha 104.53
_cell_angle_beta 104.53
_cell_angle_gamma 90.00
_symmetry_space_group_name_H-M 'P 1'
_symmetry_Int_Tables_number 1
loop_
_symmetry_equiv_pos_as_xyz
'x,y,z'
loop_
_atom_site_label
_atom_site_type_symbol
_atom_site_fract_x
_atom_site_fract_y
_atom_site_fract_z
Pr1 Pr 0.013 0.013 0.027
Sc1 Sc 0.306 0.306 0.612
Ga1 Ga 0.681 0.681 0.361


# LaHgTe2 PBE-GGA optimized geometry
# final energy = -3.723 eV per atom
# space-group type = No. 160
# formation energy from raw total energies = -81 kJ per mole of atoms
data_LaHgTe2
_chemical_formula_sum 'La1 Hg1 Te2'
_cell_length_a 4.651
_cell_length_b 4.651
_cell_length_c 8.133
_cell_angle_alpha 73.39
_cell_angle_beta 73.39
_cell_angle_gamma 60.00
_symmetry_space_group_name_H-M 'P 1'
_symmetry_Int_Tables_number 1
loop_
_symmetry_equiv_pos_as_xyz
'x,y,z'
loop_
_atom_site_label
_atom_site_type_symbol
_atom_site_fract_x
_atom_site_fract_y
_atom_site_fract_z
La1 La 0.665 0.665 0.004
Hg1 Hg 0.500 0.500 0.499
Te1 Te 0.078 0.078 0.766
Te2 Te 0.256 0.256 0.231


# BaReAg2W PBE-GGA optimized geometry
# final energy = -5.560 eV per atom
# space-group type = No. 123
# formation enthalpy at 0 K = 1045 meV/atom
data_BaReAg2W
_chemical_formula_sum 'Ba1 Re1 Ag2 W1'
_cell_length_a 5.346
_cell_length_b 4.714
_cell_length_c 5.346
_cell_angle_alpha 90.00
_cell_angle_beta 90.00
_cell_angle_gamma 90.00
_symmetry_space_group_name_H-M 'P 1'
_symmetry_Int_Tables_number 1
loop_
_symmetry_equiv_pos_as_xyz
'x,y,z'
loop_
_atom_site_label
_atom_site_type_symbol
_atom_site_fract_x
_atom_site_fract_y
_atom_site_fract_z
Re1 Re 0.000 0.500 0.000
Ag1 Ag 0.000 0.000 0.500
Ag2 Ag 0.500 0.000 0.000
Ba1 Ba 0.500 0.500 0.500
W1 W 0.000 0.000 0.000


# Sb2SeS PBE-GGA optimized geometry
# final energy = -3.807 eV per atom
# space-group type = No. 225
# energy above the lowest structure with this stoichiometry = 181 meV per atom
# formation energy from raw total energies = 15 kJ per mole of atoms
data_Sb2SeS
_chemical_formula_sum 'Sb2 Se1 S1'
_cell_length_a 5.020
_cell_length_b 5.020
_cell_length_c 5.020
_cell_angle_alpha 60.00
_cell_angle_beta 60.00
_cell_angle_gamma 60.00
_symmetry_space_group_name_H-M 'P 1'
_symmetry_Int_Tables_number 1
loop_
_symmetry_equiv_pos_as_xyz
'x,y,z'
loop_
_atom_site_label
_atom_site_type_symbol
_atom_site_fract_x
_atom_site_fract_y
_atom_site_fract_z
Sb1 Sb 0.250 0.250 0.250
Sb2 Sb 0.750 0.750 0.750
S1 S 0.000 0.000 0.000
Se1 Se 0.500 0.500 0.500


# LaHSeN2 PBE-GGA optimized geometry
# final energy = -5.125 eV per atom
# space-group type = No. 123
# energy above the lowest structure with this stoichiometry = 0 meV per atom
data_LaHSeN2
_chemical_formula_sum 'La1 H1 Se1 N2'
_cell_length_a 4.278
_cell_length_b 4.278
_cell_length_c 3.470
_cell_angle_alpha 90.00
_cell_angle_beta 90.00
_cell_angle_gamma 90.00
_symmetry_space_group_name_H-M 'P 1'
_symmetry_Int_Tables_number 1
loop_
_symmetry_equiv_pos_as_xyz
'x,y,z'
loop_
_atom_site_label
_atom_site_type_symbol
_atom_site_fract_x
_atom_site_fract_y
_atom_site_fract_z
H1 H 0.000 0.000 0.000
N1 N 0.000 0.500 0.000
N2 N 0.500 0.000 0.000
Se1 Se 0.000 0.000 0.500
La1 La 0.500 0.500 0.500


# InBNF2 PBE-GGA optimized geometry
# final energy = -5.240 eV per atom
# space-group type = No. 123
# formation energy from raw total energies = -91 kJ per mole of atoms
data_InBNF2
_chemical_formula_sum 'In1 B1 N1 F2'
_cell_length_a 4.618
_cell_length_b 4.618
_cell_length_c 2.718
_cell_angle_alpha 90.00
_cell_angle_beta 90.00
_cell_angle_gamma 90.00
_symmetry_space_group_name_H-M 'P 1'
_symmetry_Int_Tables_number 1
loop_
_symmetry_equiv_pos_as_xyz
'x,y,z'
loop_
_atom_site_label
_atom_site_type_symbol
_atom_site_fract_x
_atom_site_fract_y
_atom_site_fract_z
N1 N 0.000 0.000 0.500
F1 F 0.000 0.500 0.000
F2 F 0.500 0.000 0.000
B1 B 0.000 0.000 0.000
In1 In 0.500 0.500 0.500


# SrSiP2 PBE-GGA optimized geometry
# final energy = -4.627 eV per atom
# space-group type = No. 99
# formation energy from raw total energies = -14 kJ per mole of atoms
data_SrSiP2
_chemical_formula_sum 'Sr1 Si1 P2'
_cell_length_a 3.535
_cell_length_b 3.535
_cell_length_c 7.383
_cell_angle_alpha 90.00
_cell_angle_beta 90.00
_cell_angle_gamma 90.00
_symmetry_space_group_name_H-M 'P 1'
_symmetry_Int_Tables_number 1
loop_
_symmetry_equiv_pos_as_xyz
'x,y,z'
loop_
_atom_site_label
_atom_site_type_symbol
_atom_site_fract_x
_atom_site_fract_y
_atom_site_fract_z
P1 P 0.000 0.000 0.005
P2 P 0.500 0.500 0.386
Si1 Si 0.000 0.000 0.307
Sr1 Sr 0.500 0.500 0.801


# Y3Ga4Pd4 PBE-GGA optimized geometry
# final energy = -5.591 eV per atom
# space-group type = No. 71
# energy above the lowest structure with this stoichiometry = 0 meV per atom
# formation enthalpy at 0 K = -839 meV/atom
data_Y3Ga4Pd4
_chemical_formula_sum 'Y3 Ga4 Pd4'
_cell_length_a 4.190
_cell_length_b 7.118
_cell_length_c 8.243
_cell_angle_alpha 115.58
_cell_angle_beta 104.72
_cell_angle_gamma 90.00
_symmetry_space_group_name_H-M 'P 1'
_symmetry_Int_Tables_number 1
loop_
_symmetry_equiv_pos_as_xyz
'x,y,z'
loop_
_atom_site_label
_atom_site_type_symbol
_atom_site_fract_x
_atom_site_fract_y
_atom_site_fract_z
Y1 Y 0.127 0.127 0.253
Y2 Y 0.873 0.873 0.747
Y3 Y 0.000 0.500 0.000
Ga1 Ga 0.327 0.128 0.654
Ga2 Ga 0.673 0.474 0.346
Ga3 Ga 0.673 0.872 0.346
Ga4 Ga 0.327 0.526 0.654
Pd1 Pd 0.213 0.713 0.426
Pd2 Pd 0.787 0.287 0.574
Pd3 Pd 0.500 0.802 0.000
Pd4 Pd 0.500 0.198 0.000


# LaUC2 PBE-GGA optimized geometry
# final energy = -8.555 eV per atom
# space-group type = No. 12
# energy above the lowest structure with this stoichiometry = 226 meV per atom
# formation enthalpy at 0 K = 111 meV/atom
data_LaUC2
_chemical_formula_sum 'La1 U1 C2'
_cell_length_a 3.588
_cell_length_b 3.586
_cell_length_c 6.174
_cell_angle_alpha 90.20
_cell_angle_beta 89.99
_cell_angle_gamma 119.99
_symmetry_space_group_name_H-M 'P 1'
_symmetry_Int_Tables_number 1
loop_
_symmetry_equiv_pos_as_xyz
'x,y,z'
loop_
_atom_site_label
_atom_site_type_symbol
_atom_site_fract_x
_atom_site_fract_y
_atom_site_fract_z
La1 La 0.000 0.500 0.500
U1 U 0.000 0.500 0.000
C1 C 0.667 0.834 0.813
C2 C 0.333 0.166 0.187


# CrS2 PBE-GGA optimized geometry
# final energy = -6.636 eV per atom
# space-group type = No. 160
# formation energy from raw total energies = -65 kJ per mole of atoms
data_CrS2
_chemical_formula_sum 'Cr1 S2'
_cell_length_a 3.044
_cell_length_b 3.044
_cell_length_c 7.041
_cell_angle_alpha 77.53
_cell_angle_beta 77.53
_cell_angle_gamma 60.00
_symmetry_space_group_name_H-M 'P 1'
_symmetry_Int_Tables_number 1
loop_
_symmetry_equiv_pos_as_xyz
'x,y,z'
loop_
_atom_site_label
_atom_site_type_symbol
_atom_site_fract_x
_atom_site_fract_y
_atom_site_fract_z
Cr1 Cr 0.067 0.067 0.320
S1 S 0.329 0.329 0.535
S2 S 0.472 0.472 0.105


# HPt2Pb PBE-GGA optimized geometry
# final energy = -4.199 eV per atom
# space-group type = No. 225
# energy above the lowest structure with this stoichiometry = 578 meV per atom
data_HPt2Pb
_chemical_formula_sum 'H1 Pt2 Pb1'
_cell_length_a 4.512
_cell_length_b 4.512
_cell_length_c 4.512
_cell_angle_alpha 60.00
_cell_angle_beta 60.00
_cell_angle_gamma 60.00
_symmetry_space_group_name_H-M 'P 1'
_symmetry_Int_Tables_number 1
loop_
_symmetry_equiv_pos_as_xyz
'x,y,z'
loop_
_atom_site_label
_atom_site_type_symbol
_atom_site_fract_x
_atom_site_fract_y
_atom_site_fract_z
Pb1 Pb 0.500 0.500 0.500
H1 H 0.000 0.000 0.000
Pt1 Pt 0.250 0.250 0.250
Pt2 Pt 0.750 0.750 0.750


# TiSi7H42C14Cl2O2 PBE-GGA optimized geometry
# final energy = -5.227 eV per atom
# space-group type = No. 4
data_TiSi7H42C14Cl2O2
_chemical_formula_sum 'Ti2 Si14 H84 C28 Cl4 O4'
_cell_length_a 9.675
_cell_length_b 10.336
_cell_length_c 18.430
_cell_angle_alpha 90.00
_cell_angle_beta 90.00
_cell_angle_gamma 101.32
_symmetry_space_group_name_H-M 'P 1'
_symmetry_Int_Tables_number 1
loop_
_symmetry_equiv_pos_as_xyz
'x,y,z'
loop_
_atom_site_label
_atom_site_type_symbol
_atom_site_fract_x
_atom_site_fract_y
_atom_site_fract_z
Ti1 Ti 0.646 0.413 0.269
Ti2 Ti 0.354 0.587 0.769
Si1 Si 0.744 0.123 0.246
Si2 Si 0.256 0.877 0.746
Si3 Si 0.818 0.418 0.111
Si4 Si 0.182 0.582 0.611
Si5 Si 0.534 0.961 0.233
Si6 Si 0.466 0.039 0.733
Si7 Si 0.859 0.199 0.134
Si8 Si 0.141 0.801 0.634
Si9 Si 0.671 0.430 0.008
Si10 Si 0.329 0.570 0.508
Si11 Si 0.901 0.066 0.335
Si12 Si 0.099 0.934 0.835
Si13 Si 0.028 0.583 0.118
Si14 Si 0.972 0.417 0.618
H1 H 0.334 0.883 0.317
H2 H 0.666 0.117 0.817
H3 H 0.493 0.925 0.367
H4 H 0.507 0.075 0.867
H5 H 0.408 0.051 0.334
H6 H 0.592 0.949 0.834
H7 H 0.637 0.795 0.161
H8 H 0.363 0.205 0.661
H9 H 0.645 0.764 0.256
H10 H 0.355 0.236 0.756
H11 H 0.483 0.718 0.209
H12 H 0.517 0.282 0.709
H13 H 0.315 0.932 0.159
H14 H 0.685 0.068 0.659
H15 H 0.392 0.102 0.166
H16 H 0.608 0.898 0.666
H17 H 0.462 0.999 0.104
H18 H 0.538 0.001 0.604
H19 H 0.808 0.983 0.068
H20 H 0.192 0.017 0.568
H21 H 0.676 0.075 0.047
H22 H 0.324 0.925 0.547
H23 H 0.845 0.116 0.006
H24 H 0.155 0.884 0.506
H25 H 0.105 0.233 0.086
H26 H 0.895 0.767 0.586
H27 H 0.110 0.266 0.180
H28 H 0.890 0.734 0.680
H29 H 0.074 0.101 0.148
H30 H 0.926 0.899 0.648
H31 H 0.428 0.324 0.973
H32 H 0.572 0.676 0.473
H33 H 0.513 0.205 0.014
H34 H 0.487 0.795 0.514
H35 H 0.447 0.321 0.069
H36 H 0.553 0.679 0.569
H37 H 0.553 0.604 0.960
H38 H 0.447 0.396 0.460
H39 H 0.578 0.623 0.055
H40 H 0.422 0.377 0.555
H41 H 0.722 0.677 0.995
H42 H 0.278 0.323 0.495
H43 H 0.869 0.463 0.917
H44 H 0.131 0.537 0.417
H45 H 0.785 0.295 0.922
H46 H 0.215 0.705 0.422
H47 H 0.703 0.410 0.875
H48 H 0.297 0.590 0.375
H49 H 0.064 0.908 0.343
H50 H 0.936 0.092 0.843
H51 H 0.915 0.840 0.289
H52 H 0.085 0.160 0.789
H53 H 0.054 0.961 0.252
H54 H 0.946 0.039 0.752
H55 H 0.736 0.078 0.439
H56 H 0.264 0.922 0.939
H57 H 0.727 0.911 0.411
H58 H 0.273 0.089 0.911
H59 H 0.873 0.993 0.463
H60 H 0.127 0.007 0.963
H61 H 0.104 0.195 0.403
H62 H 0.896 0.805 0.903
H63 H 0.106 0.255 0.313
H64 H 0.894 0.745 0.813
H65 H 0.986 0.299 0.377
H66 H 0.014 0.701 0.877
H67 H 0.950 0.756 0.041
H68 H 0.050 0.244 0.541
H69 H 0.897 0.768 0.133
H70 H 0.103 0.232 0.633
H71 H 0.075 0.828 0.107
H72 H 0.925 0.172 0.607
H73 H 0.190 0.669 0.219
H74 H 0.810 0.331 0.719
H75 H 0.019 0.601 0.254
H76 H 0.981 0.399 0.754
H77 H 0.136 0.496 0.228
H78 H 0.864 0.504 0.728
H79 H 0.206 0.463 0.064
H80 H 0.794 0.537 0.564
H81 H 0.128 0.544 0.995
H82 H 0.872 0.456 0.495
H83 H 0.257 0.636 0.053
H84 H 0.743 0.364 0.553
C1 C 0.434 0.955 0.321
C2 C 0.566 0.045 0.821
C3 C 0.580 0.795 0.213
C4 C 0.420 0.205 0.713
C5 C 0.416 0.003 0.158
C6 C 0.584 0.997 0.658
C7 C 0.789 0.082 0.057
C8 C 0.211 0.918 0.557
C9 C 0.056 0.201 0.138
C10 C 0.944 0.799 0.638
C11 C 0.499 0.308 0.018
C12 C 0.501 0.692 0.518
C13 C 0.628 0.600 0.005
C14 C 0.372 0.400 0.505
C15 C 0.766 0.396 0.923
C16 C 0.234 0.604 0.423
C17 C 0.991 0.932 0.301
C18 C 0.009 0.068 0.801
C19 C 0.799 0.007 0.420
C20 C 0.201 0.993 0.920
C21 C 0.037 0.218 0.358
C22 C 0.963 0.782 0.858
C23 C 0.982 0.749 0.098
C24 C 0.018 0.251 0.598
C25 C 0.099 0.587 0.213
C26 C 0.901 0.413 0.713
C27 C 0.167 0.553 0.051
C28 C 0.833 0.447 0.551
Cl1 Cl 0.410 0.393 0.264
Cl2 Cl 0.590 0.607 0.764
Cl3 Cl 0.745 0.557 0.355
Cl4 Cl 0.255 0.443 0.855
O1 O 0.686 0.255 0.284
O2 O 0.314 0.745 0.784
O3 O 0.721 0.459 0.183
O4 O 0.279 0.541 0.683


Number 1: size of the total moment 0.00 μB per formula unit. Number 2: size of the total moment 0.00 μB per formula unit. Number 3: size of the total moment 0.52 μB per formula unit. Number 4: size of the total moment 0.00 μB per formula unit. Number 5: size of the total moment 0.18 μB per formula unit. Number 6: size of the total moment 0.00 μB per formula unit. Number 7: size of the total moment 0.00 μB per formula unit. Number 8: size of the total moment 0.00 μB per formula unit. Number 9: size of the total moment 0.00 μB per formula unit. Number 10: size of the total moment 0.00 μB per formula unit. Number 11: size of the total moment 0.00 μB per formula unit. Number 12: size of the total moment 0.00 μB per formula unit.